SiTcAs2 after structural relaxation, computed with PBE.

abc: 5.4479 7.2959 3.1737
angles: 90.00 90.00 90.00
Space group Cmmm (No. 65)
Asymmetric unit:
Si 0.0000 0.0000 0.0000 (multiplicity 2)
Tc 0.0000 0.5000 0.0000 (multiplicity 2)
As 0.2500 0.2500 0.5000 (multiplicity 4)

As for the total energy: -47.18 eV/cell. As for the formation energy (no corrections): 0.37 eV per atom. As for the calculated volume: 126.1 Å³/cell. The spin magnetization is 0.00 Bohr magnetons per cell.